(1)
Computed, not measured: a relaxed structure of LaMnSe2 at the GGA-PBEsol level of DFT.

crystal system	trigonal
DOS at the Fermi energy	0.333	states/eV/atom

Cell: 4.4486 4.4486 23.0051 Å, 90.00 90.00 120.00°
Space group R-3m (No. 166, hexagonal axes)
Unique sites:
La 0.0000 0.0000 0.0000
Mn 0.0000 0.0000 0.5000
Se 0.0000 0.0000 0.3982


(2)
Computed, not measured: a relaxed structure of LaMnSe2 at the GGA-PBEsol level of DFT.

crystal system	tetragonal
DOS at the Fermi energy	0.648	states/eV/atom

Cell: 3.5311 3.5311 6.8925 Å, 90.00 90.00 90.00°
Space group P4/mmm (No. 123)
Unique sites:
La 0.0000 0.0000 0.0000
Mn 0.0000 0.0000 0.5000
Se 0.5000 0.5000 0.2667


(3)
Computed, not measured: a relaxed structure of LaMnSe at the GGA-PBEsol level of DFT.

crystal system	cubic
DOS at the Fermi energy	1.029	states/eV/atom

Cell: 6.2293 6.2293 6.2293 Å, 90.00 90.00 90.00°
Space group F-43m (No. 216)
Unique sites:
La 0.0000 0.0000 0.0000
Mn 0.2500 0.2500 0.7500
Se 0.0000 0.0000 0.5000


Quick rundown of formation energy from raw total energies, same order as above: -792.8 -806.1 -366.5 meV/atom